No. 1
Below is Cd8HgAu2 after structural relaxation, with properties calculated at the PBE level.

Lattice parameters (Å, degrees): 7.9386 12.4696 5.3522 90.00 101.07 90.00
Last column: nearest neighbours and their distance in Å.
Space group C2/m (No. 12)
Symmetry-distinct sites (fractional):
Cd  0.0000  0.2462  0.0000 (multiplicity 4)  2 Au 2.77
Cd  0.1165  0.0000  0.7957 (multiplicity 4)  2 Au 2.88, 1 Hg 3.03, 1 Cd 3.12
Cd  0.1925  0.3806  0.6385 (multiplicity 8)  2 Au 2.82-2.87, 2 Cd 2.98-3.13, 1 Hg 3.07
Hg  0.0000  0.5000  0.0000 (multiplicity 2)  8 Cd 3.03-3.16
Au  0.0000  0.1879  0.5000 (multiplicity 4)  8 Cd 2.77-2.88

Formation enthalpy at 0 K: -54.7 kJ/mol of formula units
Density: 9.54 g/cm3
Uncorrected energy: -29.488 eV per cell


No. 2
Below is CdHgAu after structural relaxation, with properties calculated at the PBE level.

Lattice parameters (Å, degrees): 3.4493 3.4493 22.7669 90.00 90.00 90.00
Last column: nearest neighbours and their distance in Å.
Space group I4/mmm (No. 139)
Symmetry-distinct sites (fractional):
Cd  0.0000  0.0000  0.2074 (multiplicity 4)  4 Au 2.89, 4 Cd 3.12
Hg  0.0000  0.0000  0.0610 (multiplicity 4)  1 Hg 2.78, 4 Au 3.02
Au  0.0000  0.0000  0.3609 (multiplicity 4)  4 Cd 2.89, 4 Hg 3.02

Formation enthalpy at 0 K: -0.9 kJ/mol of formula units
Density: 12.50 g/cm3
Uncorrected energy: -18.015 eV per cell


No. 3
Below is Cd2HgAu2 after structural relaxation, with properties calculated at the PBE level.

Lattice parameters (Å, degrees): 7.7554 7.7554 3.5179 90.00 90.00 90.00
Last column: nearest neighbours and their distance in Å.
Space group P4/mbm (No. 127)
Symmetry-distinct sites (fractional):
Cd  0.1600  0.3400  0.0000 (multiplicity 4)  6 Au 2.83-2.91
Hg  0.0000  0.0000  0.5000 (multiplicity 2)  4 Au 3.01
Au  0.1379  0.6379  0.5000 (multiplicity 4)  6 Cd 2.83-2.91, 2 Hg 3.01, 1 Au 3.02

Formation enthalpy at 0 K: -52.1 kJ/mol of formula units
Density: 12.86 g/cm3
Uncorrected energy: -18.453 eV per cell


No. 4
Below is Cd6HgAu2 after structural relaxation, with properties calculated at the PBE level.

Lattice parameters (Å, degrees): 4.4246 12.8055 13.5110 90.00 90.00 90.00
Last column: nearest neighbours and their distance in Å.
Space group Fmmm (No. 69)
Symmetry-distinct sites (fractional):
Cd  0.0000  0.1594  0.1699 (multiplicity 16)  3 Au 3.00-3.01, 1 Hg 3.07, 8 Cd 3.09-3.21
Cd  0.0000  0.1661  0.5000 (multiplicity 8)  2 Hg 3.07, 8 Cd 3.08-3.20, 2 Au 3.10
Hg  0.0000  0.0000  0.0000 (multiplicity 4)  8 Cd 3.07, 4 Au 3.16
Au  0.0000  0.0000  0.3331 (multiplicity 8)  8 Cd 3.00-3.10, 2 Au 3.15, 2 Hg 3.16

Formation enthalpy at 0 K: -29.0 kJ/mol of formula units
Density: 11.01 g/cm3
Uncorrected energy: -50.589 eV per cell


Energy relative to the lowest polymorph listed for this composition (computed, eV/atom): 0.018, 0.055, 0.000, 0.000